(1)
DFT (GGA-PBE) results for a relaxed MgCuSb crystal.

Lattice parameters (Å, degrees): 4.861 4.861 4.872 132.78 132.78 68.80
Atoms (fractional coordinates):
Cu  0.002  0.002  0.000
Mg  0.327  0.327  0.000
Sb  0.671  0.671  0.000

## Properties
Electronic total energy, eV per atom: -3.2624
Space group: No. 42
Formation energy without anion corrections, eV/atom: 0.0087
M_tot, μB/atom: 0.0000

=====

(2)
DFT (GGA-PBE) results for a relaxed DyHo2Tm3 crystal.

Lattice parameters (Å, degrees): 6.058 7.004 9.268 112.20 89.96 90.00
Atoms (fractional coordinates):
Tm  0.417  0.958  0.666
Tm  0.917  0.708  0.666
Tm  0.250  0.375  0.000
Tm  0.583  0.042  0.334
Tm  0.083  0.292  0.334
Tm  0.750  0.625  0.000
Ho  0.083  0.792  0.333
Ho  0.917  0.208  0.667
Ho  0.583  0.542  0.333
Ho  0.417  0.458  0.667
Dy  0.750  0.125  0.000
Dy  0.250  0.875  0.000

## Properties
Electronic total energy, eV per atom: -4.5041
DFT formation energy, meV/atom: 24.6
Space group: No. 15
M_tot, μB/atom: 0.0000

=====

(3)
DFT (GGA-PBE) results for a relaxed La12AlSn3 crystal.

Lattice parameters (Å, degrees): 5.024 5.024 20.063 90.00 90.00 90.00
Atoms (fractional coordinates):
La  0.500  0.000  0.877
La  0.000  0.500  0.877
La  0.500  0.500  0.000
La  0.500  0.500  0.752
La  0.500  0.500  0.500
La  0.500  0.500  0.248
La  0.500  0.000  0.123
La  0.000  0.500  0.123
La  0.500  0.000  0.626
La  0.500  0.000  0.374
La  0.000  0.500  0.626
La  0.000  0.500  0.374
Sn  0.000  0.000  0.248
Sn  0.000  0.000  0.500
Sn  0.000  0.000  0.752
Al  0.000  0.000  0.000

## Properties
Electronic total energy, eV per atom: -5.0947
DFT formation energy, meV/atom: -414.7
Space group: No. 123
M_tot, μB/atom: 0.0000

=====

(4)
DFT (GGA-PBE) results for a relaxed Ce5SnGe3 crystal.

Lattice parameters (Å, degrees): 6.293 9.135 9.135 120.00 90.00 90.00
Atoms (fractional coordinates):
Sn  0.000  0.000  0.000
Sn  0.500  0.000  0.000
Ce  0.000  0.333  0.667
Ce  0.750  0.000  0.706
Ce  0.250  0.706  0.706
Ce  0.500  0.333  0.667
Ce  0.000  0.667  0.333
Ce  0.250  0.294  0.000
Ce  0.500  0.667  0.333
Ce  0.250  0.000  0.294
Ce  0.750  0.294  0.294
Ce  0.750  0.706  0.000
Ge  0.250  0.370  0.370
Ge  0.250  0.630  0.000
Ge  0.750  0.630  0.630
Ge  0.750  0.000  0.370
Ge  0.750  0.370  0.000
Ge  0.250  0.000  0.630

## Properties
Electronic total energy, eV per atom: -5.9015
DFT formation energy, meV/atom: -621.1
Space group: No. 193
M_tot, μB/atom: 0.5498

=====

(5)
DFT (GGA-PBE) results for a relaxed LiCoPd2 crystal.

Lattice parameters (Å, degrees): 2.805 4.372 4.372 90.00 90.00 90.00
Atoms (fractional coordinates):
Co  0.500  0.500  0.500
Li  0.500  0.000  0.000
Pd  0.000  0.000  0.500
Pd  0.000  0.500  0.000

## Properties
Electronic total energy, eV per atom: -5.0124
DFT formation energy, meV/atom: -161.0
Space group: No. 123
M_tot, μB/atom: 0.5656

=====

(6)
DFT (GGA-PBE) results for a relaxed Dy3CdHg2 crystal.

Lattice parameters (Å, degrees): 5.260 5.260 12.956 90.00 90.00 120.00
Atoms (fractional coordinates):
Dy  0.000  0.000  0.752
Dy  0.667  0.333  0.582
Dy  0.333  0.667  0.418
Dy  0.667  0.333  0.081
Dy  0.000  0.000  0.248
Dy  0.333  0.667  0.919
Hg  0.000  0.000  0.000
Hg  0.333  0.667  0.173
Hg  0.000  0.000  0.500
Hg  0.667  0.333  0.827
Cd  0.333  0.667  0.668
Cd  0.667  0.333  0.332

## Properties
Electronic total energy, eV per atom: -2.9784
DFT formation energy, meV/atom: -424.2
Space group: No. 164
M_tot, μB/atom: 0.0494

=====

(7)
DFT (GGA-PBE) results for a relaxed Sr2Bi4Pb crystal.

Lattice parameters (Å, degrees): 4.817 4.817 10.764 90.00 90.00 90.00
Atoms (fractional coordinates):
Bi  0.000  0.500  0.804
Bi  0.000  0.000  0.500
Bi  0.500  0.000  0.196
Bi  0.500  0.500  0.500
Pb  0.500  0.500  0.000
Sr  0.500  0.000  0.749
Sr  0.000  0.500  0.251

## Properties
Electronic total energy, eV per atom: -3.6251
DFT formation energy, meV/atom: -397.1
Space group: No. 115
M_tot, μB/atom: 0.0000

=====

(8)
DFT (GGA-PBE) results for a relaxed HfMgGa2 crystal.

Lattice parameters (Å, degrees): 4.350 4.350 5.290 65.72 65.72 60.00
Atoms (fractional coordinates):
Hf  0.500  0.500  0.500
Ga  0.262  0.262  0.214
Ga  0.738  0.738  0.786
Mg  0.000  0.000  0.000

## Properties
Electronic total energy, eV per atom: -4.5330
DFT formation energy, meV/atom: -132.6
Space group: No. 166
M_tot, μB/atom: 0.0000

=====

(9)
DFT (GGA-PBE) results for a relaxed NiAg5Br12 crystal.

Lattice parameters (Å, degrees): 6.821 7.700 14.210 75.27 87.95 55.62
Atoms (fractional coordinates):
Br  0.130  0.351  0.381
Br  0.333  0.884  0.110
Br  0.794  0.018  0.382
Br  0.260  0.820  0.889
Br  0.032  0.622  0.097
Br  0.667  0.116  0.890
Br  0.968  0.378  0.903
Br  0.541  0.314  0.619
Br  0.459  0.686  0.381
Br  0.870  0.649  0.619
Br  0.740  0.180  0.111
Br  0.206  0.982  0.618
Ag  0.500  0.000  0.500
Ag  0.670  0.665  0.000
Ag  0.167  0.666  0.501
Ag  0.330  0.335  0.000
Ag  0.833  0.334  0.499
Ni  0.000  0.000  0.000

## Properties
Electronic total energy, eV per atom: -2.4551
Space group: No. 2
Formation energy without anion corrections, eV/atom: -0.2267
M_tot, μB/atom: 0.0510

=====

(10)
DFT (GGA-PBE) results for a relaxed CoRh crystal.

Lattice parameters (Å, degrees): 4.196 4.196 5.146 90.00 90.00 120.00
Atoms (fractional coordinates):
Rh  0.000  0.000  0.000
Rh  0.333  0.667  0.725
Rh  0.667  0.333  0.275
Co  0.667  0.333  0.764
Co  0.333  0.667  0.236
Co  0.000  0.000  0.500

## Properties
Electronic total energy, eV per atom: -7.0994
DFT formation energy, meV/atom: 129.3
Space group: No. 164
M_tot, μB/atom: 1.4202

=====

(11)
DFT (GGA-PBE) results for a relaxed Cs3SbS4 crystal.

Lattice parameters (Å, degrees): 7.714 7.714 7.714 92.40 115.58 121.75
Atoms (fractional coordinates):
Cs  0.570  0.242  0.811
Cs  0.007  0.000  0.007
Cs  0.570  0.758  0.328
S  0.163  0.683  0.847
S  0.582  0.245  0.338
S  0.093  0.755  0.338
S  0.163  0.317  0.480
Sb  0.003  0.500  0.503

## Properties
Electronic total energy, eV per atom: -3.7519
Space group: No. 44
Formation energy without anion corrections, eV/atom: -0.8528
M_tot, μB/atom: 0.0000

=====

(12)
DFT (GGA-PBE) results for a relaxed Pr2TiIn crystal.

Lattice parameters (Å, degrees): 3.349 3.349 11.923 81.93 81.93 60.00
Atoms (fractional coordinates):
Ti  0.000  0.000  0.000
Pr  0.914  0.914  0.257
Pr  0.086  0.086  0.743
In  0.500  0.500  0.500

## Properties
Electronic total energy, eV per atom: -4.7258
DFT formation energy, meV/atom: 322.3
Space group: No. 166
M_tot, μB/atom: 0.4047